ScSn3Rh6 | PBE | optimized geometry

Properties
Total energy, eV per atom: -6.717
DOS(E_F), states/eV/f.u.: 6.8
Space-group type: No. 11
Formation enthalpy at 0 K, eV/atom: -0.472

a = 7.851 Å, b = 4.574 Å, c = 10.060 Å
α = 90.00°, β = 112.93°, γ = 90.00°
Fractional positions:
Sc1 0.138 0.250 0.087
Sc2 0.862 0.750 0.913
Sn1 0.064 0.750 0.702
Sn2 0.319 0.750 0.522
Sn3 0.351 0.250 0.875
Sn4 0.649 0.750 0.125
Sn5 0.681 0.250 0.478
Sn6 0.936 0.250 0.298
Rh1 0.051 0.750 0.208
Rh2 0.141 0.250 0.581
Rh3 0.255 0.750 0.994
Rh4 0.302 0.250 0.367
Rh5 0.459 0.750 0.310
Rh6 0.496 0.250 0.171
Rh7 0.504 0.750 0.829
Rh8 0.541 0.250 0.690
Rh9 0.698 0.750 0.633
Rh10 0.745 0.250 0.006
Rh11 0.859 0.750 0.419
Rh12 0.949 0.250 0.792

=====

ScSnRh2 | PBE | optimized geometry

Properties
Total energy, eV per atom: -6.497
DOS(E_F), states/eV/f.u.: 3.2
Space-group type: No. 122
Formation enthalpy at 0 K, eV/atom: -0.237

a = 4.265 Å, b = 4.265 Å, c = 17.139 Å
α = 90.00°, β = 90.00°, γ = 90.00°
Fractional positions:
Sc1 0.000 0.000 0.000
Sc2 0.000 0.500 0.250
Sc3 0.500 0.000 0.750
Sc4 0.500 0.500 0.500
Sn1 0.000 0.000 0.500
Sn2 0.000 0.500 0.750
Sn3 0.500 0.000 0.250
Sn4 0.500 0.500 0.000
Rh1 0.232 0.250 0.125
Rh2 0.250 0.732 0.375
Rh3 0.250 0.768 0.875
Rh4 0.268 0.250 0.625
Rh5 0.732 0.750 0.625
Rh6 0.750 0.232 0.875
Rh7 0.750 0.268 0.375
Rh8 0.768 0.750 0.125

=====

Sc8Sn2Rh | PBE | optimized geometry

Properties
Total energy, eV per atom: -6.476
DOS(E_F), states/eV/f.u.: 14.3
Space-group type: No. 71
Formation enthalpy at 0 K, eV/atom: -0.475

a = 8.453 Å, b = 8.453 Å, c = 8.453 Å
α = 145.31°, β = 133.93°, γ = 58.94°
Fractional positions:
Sc1 0.137 0.372 0.765
Sc2 0.185 0.185 0.000
Sc3 0.247 0.000 0.247
Sc4 0.393 0.628 0.765
Sc5 0.607 0.372 0.235
Sc6 0.753 0.000 0.753
Sc7 0.815 0.815 0.000
Sc8 0.863 0.628 0.235
Sn1 0.314 0.814 0.500
Sn2 0.686 0.186 0.500
Rh1 0.000 0.500 0.500

=====

Sc2SnRh5 | PBE | optimized geometry

Properties
Total energy, eV per atom: -7.460
DOS(E_F), states/eV/f.u.: 5.9
Space-group type: No. 55
Formation enthalpy at 0 K, eV/atom: -0.782

a = 5.554 Å, b = 11.027 Å, c = 4.170 Å
α = 90.00°, β = 90.00°, γ = 90.00°
Fractional positions:
Sc1 0.185 0.140 0.000
Sc2 0.315 0.640 0.000
Sc3 0.685 0.360 0.000
Sc4 0.815 0.860 0.000
Sn1 0.000 0.500 0.500
Sn2 0.500 0.000 0.500
Rh1 0.000 0.000 0.500
Rh2 0.060 0.751 0.500
Rh3 0.201 0.384 0.000
Rh4 0.299 0.884 0.000
Rh5 0.440 0.251 0.500
Rh6 0.500 0.500 0.500
Rh7 0.560 0.749 0.500
Rh8 0.701 0.116 0.000
Rh9 0.799 0.616 0.000
Rh10 0.940 0.249 0.500

=====

Sc2SnRh | PBE | optimized geometry

Properties
Total energy, eV per atom: -6.311
DOS(E_F), states/eV/f.u.: 3.8
Space-group type: No. 166
Formation enthalpy at 0 K, eV/atom: -0.306

a = 3.524 Å, b = 3.524 Å, c = 27.543 Å
α = 90.00°, β = 90.00°, γ = 120.00°
Fractional positions:
Sc1 0.000 0.000 0.108
Sc2 0.000 0.000 0.892
Sc3 0.333 0.667 0.559
Sc4 0.333 0.667 0.775
Sc5 0.667 0.333 0.225
Sc6 0.667 0.333 0.441
Sn1 0.000 0.000 0.000
Sn2 0.333 0.667 0.667
Sn3 0.667 0.333 0.333
Rh1 0.000 0.000 0.500
Rh2 0.333 0.667 0.167
Rh3 0.667 0.333 0.833

=====

Sc2SnRh3 | PBE | optimized geometry

Properties
Total energy, eV per atom: -7.384
DOS(E_F), states/eV/f.u.: 3.8
Space-group type: No. 164
Formation enthalpy at 0 K, eV/atom: -0.931

a = 4.562 Å, b = 4.562 Å, c = 5.583 Å
α = 90.00°, β = 90.00°, γ = 120.00°
Fractional positions:
Sc1 0.333 0.667 0.176
Sc2 0.667 0.333 0.824
Sn1 0.000 0.000 0.500
Rh1 0.000 0.000 0.000
Rh2 0.333 0.667 0.682
Rh3 0.667 0.333 0.318

=====

ScSnRh3 | PBE | optimized geometry

Properties
Total energy, eV per atom: -6.033
DOS(E_F), states/eV/f.u.: 0.2
Space-group type: No. 221
Formation enthalpy at 0 K, eV/atom: 0.445

a = 4.787 Å, b = 4.787 Å, c = 4.787 Å
α = 90.00°, β = 90.00°, γ = 90.00°
Fractional positions:
Sc1 0.000 0.000 0.000
Sn1 0.500 0.500 0.500
Rh1 0.000 0.500 0.500
Rh2 0.500 0.000 0.500
Rh3 0.500 0.500 0.000

=====

ScSn2Rh2 | PBE | optimized geometry

Properties
Total energy, eV per atom: -6.544
DOS(E_F), states/eV/f.u.: 1.6
Space-group type: No. 59
Formation enthalpy at 0 K, eV/atom: -0.736

a = 4.393 Å, b = 4.518 Å, c = 9.858 Å
α = 90.00°, β = 90.00°, γ = 90.00°
Fractional positions:
Sc1 0.250 0.250 0.175
Sc2 0.750 0.750 0.825
Sn1 0.250 0.250 0.494
Sn2 0.250 0.250 0.828
Sn3 0.750 0.750 0.172
Sn4 0.750 0.750 0.506
Rh1 0.250 0.750 0.000
Rh2 0.250 0.750 0.330
Rh3 0.750 0.250 0.000
Rh4 0.750 0.250 0.670